(1)
Computed, not measured: crystalline HoZn9Pd2 at its relaxed geometry at the PBE level of DFT.

Geometry as POSCAR:
```
HoZn9Pd2
1.0
-3.466 -3.555 4.841
2.573 -7.724 1.136
3.076 0.586 7.600
Ho Zn Pd
2 18 4
Direct
0.500 0.000 0.000 Ho
0.250 0.500 0.500 Ho
0.750 0.500 0.500 Zn
0.000 0.000 0.000 Zn
0.006 0.914 0.673 Zn
0.594 0.086 0.327 Zn
0.671 0.173 0.586 Zn
0.430 0.827 0.414 Zn
0.744 0.827 0.586 Zn
0.156 0.173 0.414 Zn
0.079 0.914 0.327 Zn
0.320 0.086 0.673 Zn
0.744 0.586 0.827 Zn
0.156 0.414 0.173 Zn
0.079 0.327 0.914 Zn
0.320 0.673 0.086 Zn
0.006 0.673 0.914 Zn
0.594 0.327 0.086 Zn
0.671 0.586 0.173 Zn
0.430 0.414 0.827 Zn
0.875 0.250 0.750 Pd
0.875 0.750 0.250 Pd
0.875 0.250 0.250 Pd
0.375 0.750 0.750 Pd
```

Properties
polymorph energy (0 for the lowest one): 0.0000 eV/atom
SG: I4_1/amd



(2)
Computed, not measured: crystalline Sm3Ga5Cu6 at its relaxed geometry at the PBE level of DFT.

Geometry as POSCAR:
```
Sm3Ga5Cu6
1.0
-3.713 2.199 0.516
-4.266 -4.180 5.419
0.279 3.013 7.475
Sm Ga Cu
3 5 6
Direct
0.000 0.000 0.000 Sm
0.698 0.302 0.302 Sm
0.302 0.698 0.698 Sm
0.661 0.693 0.985 Ga
0.339 0.307 0.015 Ga
0.661 0.985 0.693 Ga
0.339 0.015 0.307 Ga
0.000 0.500 0.500 Ga
0.500 0.690 0.310 Cu
0.500 0.310 0.690 Cu
0.868 0.413 0.851 Cu
0.132 0.587 0.149 Cu
0.868 0.851 0.413 Cu
0.132 0.149 0.587 Cu
```

Properties
DFT total energy: -59.75 eV/cell
SG: Immm



(3)
Computed, not measured: crystalline Mg2SiAg at its relaxed geometry at the PBE level of DFT.

Geometry as POSCAR:
```
Mg2SiAg
1.0
3.677 0.000 0.000
0.000 3.677 0.000
0.000 0.000 5.622
Ag Mg Si
1 2 1
Direct
0.500 0.500 0.759 Ag
0.000 0.000 0.978 Mg
0.500 0.500 0.273 Mg
0.000 0.000 0.490 Si
```

Properties
SG: P4mm
formation energy from raw total energies: 0.060 eV per atom



(4)
Computed, not measured: crystalline ZrAlHg2 at its relaxed geometry at the PBE level of DFT.

Geometry as POSCAR:
```
ZrAlHg2
1.0
4.694 0.000 0.000
0.000 3.074 -0.014
0.000 0.026 5.840
Hg Zr Al
2 1 1
Direct
0.000 0.750 0.005 Hg
0.000 0.750 0.495 Hg
0.500 0.250 0.250 Zr
0.500 0.750 0.750 Al
```

Properties
DFT total energy: -13.12 eV/cell
SG: Pmmm



(5)
Computed, not measured: crystalline Pm5Cu2Hg at its relaxed geometry at the PBE level of DFT.

Geometry as POSCAR:
```
Pm5Cu2Hg
1.0
-1.471 -3.377 -7.294
0.421 -7.437 3.358
-5.804 5.587 3.161
Pm Cu Hg
10 4 2
Direct
0.512 0.701 0.713 Pm
0.799 0.988 0.287 Pm
0.000 0.000 0.000 Pm
0.500 0.500 0.000 Pm
0.201 0.012 0.713 Pm
0.701 0.201 0.713 Pm
0.012 0.512 0.713 Pm
0.299 0.799 0.287 Pm
0.988 0.488 0.287 Pm
0.488 0.299 0.287 Pm
0.127 0.373 0.000 Cu
0.627 0.127 0.000 Cu
0.373 0.873 0.000 Cu
0.873 0.627 0.000 Cu
0.750 0.750 0.500 Hg
0.250 0.250 0.500 Hg
```

Properties
DFT total energy: -67.60 eV/cell
SG: I4/mcm



(6)
Computed, not measured: crystalline LiB3H18N5 at its relaxed geometry at the PBE level of DFT.

Geometry as POSCAR:
```
LiB3H18N5
1.0
-4.916 -5.040 2.686
8.369 -6.788 0.297
2.468 3.530 11.142
Li B H N
4 12 72 20
Direct
0.517 0.802 0.750 Li
0.483 0.198 0.250 Li
0.483 0.698 0.250 Li
0.517 0.302 0.750 Li
0.993 0.484 0.602 B
0.097 0.914 0.007 B
0.903 0.086 0.993 B
0.129 0.574 0.513 B
0.903 0.586 0.507 B
0.871 0.926 0.013 B
0.097 0.414 0.493 B
0.993 0.984 0.898 B
0.871 0.426 0.487 B
0.129 0.074 0.987 B
0.007 0.516 0.398 B
0.007 0.016 0.102 B
0.983 0.469 0.702 H
0.367 0.584 0.058 H
0.002 0.084 0.466 H
0.017 0.531 0.298 H
0.615 0.972 0.895 H
0.417 0.378 0.947 H
0.198 0.256 0.672 H
0.714 0.376 0.156 H
0.286 0.124 0.656 H
0.185 0.322 0.279 H
0.802 0.244 0.172 H
0.815 0.178 0.779 H
0.286 0.624 0.844 H
0.795 0.342 0.277 H
0.560 0.772 0.534 H
0.198 0.756 0.828 H
0.604 0.529 0.389 H
0.367 0.084 0.442 H
0.755 0.650 0.851 H
0.802 0.744 0.328 H
0.519 0.546 0.704 H
0.807 0.170 0.984 H
0.832 0.289 0.684 H
0.440 0.728 0.034 H
0.385 0.028 0.105 H
0.168 0.711 0.316 H
0.396 0.971 0.889 H
0.983 0.969 0.798 H
0.002 0.584 0.034 H
0.396 0.471 0.611 H
0.998 0.416 0.966 H
0.481 0.954 0.204 H
0.741 0.354 0.476 H
0.879 0.698 0.055 H
0.714 0.876 0.344 H
0.879 0.198 0.445 H
0.121 0.802 0.555 H
0.885 0.587 0.148 H
0.205 0.658 0.723 H
0.440 0.228 0.466 H
0.017 0.031 0.202 H
0.795 0.842 0.223 H
0.185 0.822 0.221 H
0.245 0.850 0.351 H
0.615 0.472 0.605 H
0.245 0.350 0.149 H
0.604 0.029 0.111 H
0.259 0.146 0.976 H
0.115 0.413 0.852 H
0.259 0.646 0.524 H
0.583 0.122 0.447 H
0.205 0.158 0.777 H
0.885 0.087 0.352 H
0.193 0.830 0.016 H
0.815 0.678 0.721 H
0.193 0.330 0.484 H
0.519 0.046 0.796 H
0.115 0.913 0.648 H
0.807 0.670 0.516 H
0.998 0.916 0.534 H
0.755 0.150 0.649 H
0.832 0.789 0.816 H
0.385 0.528 0.395 H
0.121 0.302 0.945 H
0.633 0.916 0.558 H
0.560 0.272 0.966 H
0.168 0.211 0.184 H
0.481 0.454 0.296 H
0.583 0.622 0.053 H
0.633 0.416 0.942 H
0.417 0.878 0.553 H
0.741 0.854 0.024 H
0.508 0.466 0.659 N
0.120 0.897 0.564 N
0.536 0.849 0.579 N
0.880 0.603 0.064 N
0.464 0.151 0.421 N
0.120 0.397 0.936 N
0.724 0.304 0.211 N
0.508 0.966 0.841 N
0.492 0.034 0.159 N
0.492 0.534 0.341 N
0.724 0.804 0.289 N
0.276 0.196 0.711 N
0.276 0.696 0.789 N
0.248 0.786 0.288 N
0.752 0.714 0.788 N
0.880 0.103 0.436 N
0.536 0.349 0.921 N
0.248 0.286 0.212 N
0.464 0.651 0.079 N
0.752 0.214 0.712 N
```

Properties
DFT total energy: -534.04 eV/cell
SG: P2_1/c